Here is a relaxed structure of Li2SnB2O6 from Alexandria via LeMat-Bulk. Energies are from GGA-PBEsol.

Output
Theoretical density: 3.6 Mg/m³
Magnetic moment: 0.11 Bohr magnetons per cell
Volume: 457 Å³ per cell
Formation energy without anion corrections: -2.104 eV/atom

a = 8.0347 Å, b = 6.4146 Å, c = 9.8664 Å
α = 90.00°, β = 116.02°, γ = 90.00°
Last column: nearest neighbours and their distance in Å.
Space group Pc (No. 7)
Asymmetric unit:
1 Li 0.0000 0.0013 0.0000 [2 per cell]  4 O 1.86-2.02
2 Li 0.1534 0.4958 0.9755 [2 per cell]  3 O 1.88-1.97
3 Li 0.3201 0.1694 0.1407 [2 per cell]  3 O 1.90-2.02
4 Li 0.7834 0.4729 0.4492 [2 per cell]  3 O 1.81-2.00
5 Sn 0.3956 0.2972 0.8008 [2 per cell]  7 O 2.07-2.30
6 Sn 0.7616 0.1986 0.1573 [2 per cell]  6 O 2.01-2.16
7 B 0.0543 0.3865 0.1928 [2 per cell]  3 O 1.37-1.41
8 B 0.1175 0.0939 0.8006 [2 per cell]  3 O 1.36-1.40
9 B 0.5164 0.4255 0.6143 [2 per cell]  3 O 1.36-1.40
10 B 0.6627 0.0825 0.3877 [2 per cell]  3 O 1.33-1.40
11 O 0.1960 0.0564 0.7015 [2 per cell]  1 B 1.40
12 O 0.2268 0.2290 0.9179 [2 per cell]  1 B 1.40
13 O 0.2276 0.4420 0.2109 [2 per cell]  1 B 1.37
14 O 0.3573 0.3129 0.5604 [2 per cell]  1 B 1.36
15 O 0.5766 0.1035 0.2310 [2 per cell]  1 B 1.40
16 O 0.5789 0.4482 0.0298 [2 per cell]  1 B 1.40
17 O 0.5849 0.0698 0.9449 [2 per cell]  1 B 1.40
18 O 0.6100 0.4332 0.7699 [2 per cell]  1 B 1.38
19 O 0.8135 0.1879 0.4774 [2 per cell]  1 B 1.33
20 O 0.9398 0.2826 0.0582 [2 per cell]  1 B 1.41
21 O 0.9543 0.0181 0.7909 [2 per cell]  1 B 1.36
22 O 0.9706 0.4155 0.2867 [2 per cell]  1 B 1.38

=====

Here is a relaxed structure of Li3SnB2O6 from Alexandria via LeMat-Bulk. Energies are from GGA-PBEsol.

Output
Theoretical density: 3.5 Mg/m³
Magnetic moment: 0.00 Bohr magnetons per cell
Volume: 494 Å³ per cell
Formation energy without anion corrections: -2.087 eV/atom

a = 8.7726 Å, b = 6.3280 Å, c = 9.9374 Å
α = 90.00°, β = 116.47°, γ = 90.00°
Last column: nearest neighbours and their distance in Å.
Space group P2_1/c (No. 14)
Asymmetric unit:
1 Li 0.1032 0.2471 0.4802 [4 per cell]  4 O 1.91-2.04
2 Li 0.2090 0.5600 0.1682 [4 per cell]  4 O 1.93-2.03
3 Li 0.3403 0.7235 0.5433 [4 per cell]  4 O 1.87-2.00
4 Sn 0.3101 0.0357 0.3043 [4 per cell]  7 O 2.24-2.48
5 B 0.0413 0.6626 0.8216 [4 per cell]  3 O 1.38-1.39
6 B 0.4494 0.1678 0.1166 [4 per cell]  3 O 1.37-1.40
7 O 0.0911 0.7058 0.7102 [4 per cell]  1 B 1.39
8 O 0.1162 0.2119 0.6867 [4 per cell]  1 B 1.38
9 O 0.1597 0.5565 0.9481 [4 per cell]  1 B 1.39
10 O 0.2943 0.0667 0.0613 [4 per cell]  1 B 1.38
11 O 0.4414 0.6505 0.2335 [4 per cell]  1 B 1.37
12 O 0.4959 0.2044 0.5265 [4 per cell]  1 B 1.40

=====

Here is a relaxed structure of LiSnBO2 from Alexandria via LeMat-Bulk. Energies are from GGA-PBEsol.

Output
Theoretical density: 4.6 Mg/m³
Magnetic moment: 1.65 Bohr magnetons per cell
Volume: 61 Å³ per cell
Formation energy without anion corrections: 0.582 eV/atom

a = 3.5283 Å, b = 3.5283 Å, c = 4.8672 Å
α = 90.00°, β = 90.00°, γ = 90.00°
Last column: nearest neighbours and their distance in Å.
Space group P4/mmm (No. 123)
Asymmetric unit:
1 Li 0.0000 0.0000 0.0000 [1 per cell]  4 O 1.76
2 Sn 0.0000 0.0000 0.5000 [1 per cell]  2 Li 2.43, 4 B 2.49
3 B 0.5000 0.5000 0.5000 [1 per cell]  4 Sn 2.49
4 O 0.0000 0.5000 0.0000 [2 per cell]  2 Li 1.76

=====

Here is a relaxed structure of Li2SnB2O6 from Alexandria via LeMat-Bulk. Energies are from GGA-PBEsol.

Output
Theoretical density: 3.6 Mg/m³
Magnetic moment: 0.00 Bohr magnetons per cell
Volume: 467 Å³ per cell
Formation energy without anion corrections: -2.140 eV/atom

a = 5.1829 Å, b = 8.9124 Å, c = 10.1259 Å
α = 90.00°, β = 92.45°, γ = 90.00°
Last column: nearest neighbours and their distance in Å.
Space group P2_1 (No. 4)
Asymmetric unit:
1 Li 0.0519 0.0000 0.1126 [2 per cell]  4 O 1.99-2.14
2 Li 0.0527 0.6840 0.6462 [2 per cell]  4 O 1.93-2.04
3 Li 0.3821 0.6121 0.4247 [2 per cell]  3 O 1.86-2.01
4 Li 0.4232 0.6396 0.8339 [2 per cell]  3 O 1.91-1.97
5 Sn 0.1257 0.3526 0.6194 [2 per cell]  6 O 2.02-2.22
6 Sn 0.4032 0.9833 0.8765 [2 per cell]  5 O 1.98-2.10
7 B 0.0781 0.3252 0.1351 [2 per cell]  3 O 1.35-1.40
8 B 0.1034 0.0097 0.6174 [2 per cell]  3 O 1.38
9 B 0.4180 0.9566 0.3729 [2 per cell]  3 O 1.37-1.39
10 B 0.4210 0.3230 0.8792 [2 per cell]  3 O 1.37-1.41
11 O 0.0181 0.6448 0.4108 [2 per cell]  1 B 1.38
12 O 0.0212 0.9656 0.9038 [2 per cell]  1 B 1.40
13 O 0.0299 0.3816 0.4206 [2 per cell]  1 B 1.38
14 O 0.0752 0.7076 0.8380 [2 per cell]  1 B 1.35
15 O 0.1676 0.9999 0.3469 [2 per cell]  1 B 1.37
16 O 0.1758 0.3396 0.8206 [2 per cell]  1 B 1.39
17 O 0.3480 0.3131 0.1465 [2 per cell]  1 B 1.40
18 O 0.3488 0.0047 0.6760 [2 per cell]  1 B 1.38
19 O 0.3745 0.5552 0.6287 [2 per cell]  1 B 1.39
20 O 0.4461 0.9543 0.0816 [2 per cell]  1 B 1.41
21 O 0.4597 0.6885 0.0964 [2 per cell]  1 B 1.37
22 O 0.4869 0.8094 0.3992 [2 per cell]  1 B 1.38

=====

Here is a relaxed structure of Li2SnB2O6 from Alexandria via LeMat-Bulk. Energies are from GGA-PBEsol.

Output
Theoretical density: 3.5 Mg/m³
Magnetic moment: 0.00 Bohr magnetons per cell
Volume: 474 Å³ per cell
Formation energy without anion corrections: -2.134 eV/atom

a = 5.2645 Å, b = 8.6717 Å, c = 10.3901 Å
α = 89.40°, β = 87.12°, γ = 89.76°
Last column: nearest neighbours and their distance in Å.
Space group P1 (No. 1)
Asymmetric unit:
1 Li 0.0000 0.0000 0.0000 [1 per cell]  3 O 1.92-2.09
2 Li 0.0121 0.0125 0.4393 [1 per cell]  3 O 1.89-2.06
3 Li 0.0890 0.6849 0.4954 [1 per cell]  3 O 1.98-2.15
4 Li 0.2105 0.2060 0.2153 [1 per cell]  4 O 2.03-2.08
5 Li 0.2660 0.5290 0.2624 [1 per cell]  3 O 1.87-2.05
6 Li 0.4176 0.5132 0.8177 [1 per cell]  3 O 1.86-2.06
7 Li 0.7107 0.1041 0.2055 [1 per cell]  4 O 1.94-2.04
8 Li 0.7725 0.1268 0.7199 [1 per cell]  3 O 1.83-1.95
9 Sn 0.0024 0.3682 0.9781 [1 per cell]  6 O 2.00-2.20
10 Sn 0.2789 0.8660 0.7159 [1 per cell]  6 O 2.02-2.15
11 Sn 0.5022 0.2852 0.4707 [1 per cell]  6 O 1.99-2.15
12 Sn 0.7740 0.7710 0.2317 [1 per cell]  5 O 1.99-2.07
13 B 0.0466 0.3712 0.4588 [1 per cell]  3 O 1.35-1.40
14 B 0.0651 0.7292 0.9696 [1 per cell]  3 O 1.37-1.38
15 B 0.2332 0.8844 0.2311 [1 per cell]  3 O 1.37-1.39
16 B 0.2510 0.2254 0.7310 [1 per cell]  3 O 1.37-1.39
17 B 0.5494 0.2602 0.9938 [1 per cell]  3 O 1.38-1.40
18 B 0.5578 0.9232 0.4629 [1 per cell]  3 O 1.39-1.40
19 B 0.7227 0.4176 0.2295 [1 per cell]  3 O 1.37-1.40
20 B 0.7331 0.7734 0.7016 [1 per cell]  3 O 1.37-1.40
21 O 0.0394 0.9929 0.2240 [1 per cell]  1 B 1.39
22 O 0.1284 0.2186 0.4445 [1 per cell]  1 B 1.40
23 O 0.1288 0.0852 0.7344 [1 per cell]  1 B 1.38
24 O 0.1352 0.3487 0.7917 [1 per cell]  1 B 1.37
25 O 0.1492 0.5802 0.9570 [1 per cell]  1 B 1.37
26 O 0.1557 0.7341 0.2596 [1 per cell]  1 B 1.39
27 O 0.1990 0.8480 0.9077 [1 per cell]  1 B 1.38
28 O 0.2456 0.4758 0.4555 [1 per cell]  1 B 1.39
29 O 0.2998 0.2204 0.0235 [1 per cell]  1 B 1.38
30 O 0.3121 0.8908 0.5100 [1 per cell]  1 B 1.39
31 O 0.4835 0.9254 0.2124 [1 per cell]  1 B 1.37
32 O 0.4850 0.2504 0.6663 [1 per cell]  1 B 1.39
33 O 0.5284 0.6749 0.7095 [1 per cell]  1 B 1.38
34 O 0.5565 0.2966 0.2643 [1 per cell]  1 B 1.40
35 O 0.6186 0.5620 0.2343 [1 per cell]  1 B 1.37
36 O 0.6214 0.4046 0.9459 [1 per cell]  1 B 1.39
37 O 0.6531 0.0714 0.4461 [1 per cell]  1 B 1.39
38 O 0.6602 0.9282 0.7150 [1 per cell]  1 B 1.40
39 O 0.7353 0.8088 0.4259 [1 per cell]  1 B 1.40
40 O 0.7587 0.1657 0.0159 [1 per cell]  1 B 1.40
41 O 0.8039 0.4216 0.4729 [1 per cell]  1 B 1.35
42 O 0.8540 0.7807 0.0415 [1 per cell]  1 B 1.38
43 O 0.9724 0.3886 0.1840 [1 per cell]  1 B 1.40
44 O 0.9809 0.7298 0.6766 [1 per cell]  1 B 1.37

=====

Here is a relaxed structure of SrLiBO3 from Alexandria via LeMat-Bulk. Energies are from GGA-PBEsol.

Output
Theoretical density: 3.7 Mg/m³
Magnetic moment: 0.00 Bohr magnetons per cell
Volume: 279 Å³ per cell
Formation energy without anion corrections: -2.670 eV/atom

a = 6.4869 Å, b = 6.6576 Å, c = 7.7099 Å
α = 90.00°, β = 123.10°, γ = 90.00°
Last column: nearest neighbours and their distance in Å.
Space group P2_1/c (No. 14)
Asymmetric unit:
1 Sr 0.1648 0.1216 0.3671 [4 per cell]  7 O 2.49-2.69
2 Li 0.4080 0.5942 0.3067 [4 per cell]  5 O 1.95-2.17
3 B 0.2617 0.6316 0.5738 [4 per cell]  3 O 1.38-1.39
4 O 0.1112 0.7013 0.0061 [4 per cell]  1 B 1.38
5 O 0.2429 0.0122 0.9360 [4 per cell]  1 B 1.39
6 O 0.4384 0.6066 0.7845 [4 per cell]  1 B 1.39

=====

Here is a relaxed structure of SrLiB2O from Alexandria via LeMat-Bulk. Energies are from GGA-PBEsol.

Output
Theoretical density: 1.9 Mg/m³
Magnetic moment: 0.03 Bohr magnetons per cell
Volume: 118 Å³ per cell
Formation energy without anion corrections: 1.482 eV/atom

a = 5.1149 Å, b = 5.1149 Å, c = 4.5007 Å
α = 90.00°, β = 90.00°, γ = 90.00°
Last column: nearest neighbours and their distance in Å.
Space group P4/mmm (No. 123)
Asymmetric unit:
1 Sr 0.0000 0.0000 0.0000 [1 per cell]  2 O 2.25
2 Li 0.5000 0.5000 0.5000 [1 per cell]  8 B 3.41, 4 O 3.62
3 B 0.0000 0.5000 0.0000 [2 per cell]  2 Sr 2.56
4 O 0.0000 0.0000 0.5000 [1 per cell]  2 Sr 2.25

=====

Here is a relaxed structure of Li6TmB3O9 from Alexandria via LeMat-Bulk. Energies are from GGA-PBEsol.

Output
Theoretical density: 3.5 Mg/m³
Magnetic moment: 0.00 Bohr magnetons per cell
Volume: 731 Å³ per cell
Formation energy without anion corrections: -2.516 eV/atom

a = 7.1062 Å, b = 16.2379 Å, c = 6.5652 Å
α = 90.00°, β = 105.09°, γ = 90.00°
Last column: nearest neighbours and their distance in Å.
Space group P2_1/c (No. 14)
Asymmetric unit:
1 Li 0.0433 0.0304 0.1702 [4 per cell]  4 O 1.89-2.10
2 Li 0.0624 0.7054 0.0434 [4 per cell]  5 O 1.95-2.11
3 Li 0.1936 0.5346 0.0554 [4 per cell]  3 O 1.91-2.03
4 Li 0.2174 0.2061 0.8658 [4 per cell]  4 O 1.92-2.09
5 Li 0.3665 0.0545 0.9124 [4 per cell]  3 O 1.88-2.03
6 Li 0.4280 0.0047 0.3223 [4 per cell]  4 O 1.83-1.94
7 Tm 0.4187 0.6905 0.8467 [4 per cell]  8 O 2.24-2.48
8 B 0.0602 0.6162 0.6905 [4 per cell]  3 O 1.38-1.39
9 B 0.2166 0.1220 0.5033 [4 per cell]  3 O 1.37-1.39
10 B 0.4128 0.6360 0.3378 [4 per cell]  3 O 1.36-1.39
11 O 0.0369 0.0889 0.4164 [4 per cell]  1 B 1.37
12 O 0.0805 0.7001 0.7315 [4 per cell]  1 B 1.39
13 O 0.1090 0.0797 0.9241 [4 per cell]  1 B 1.38
14 O 0.2253 0.5690 0.7715 [4 per cell]  1 B 1.39
15 O 0.2442 0.2045 0.5617 [4 per cell]  1 B 1.39
16 O 0.3543 0.6864 0.1627 [4 per cell]  1 B 1.38
17 O 0.3854 0.0751 0.5440 [4 per cell]  1 B 1.39
18 O 0.4072 0.5525 0.3244 [4 per cell]  1 B 1.36
19 O 0.4881 0.6751 0.5303 [4 per cell]  1 B 1.39